(1)
LaTbDyCo: relaxed, PBE-GGA.

Unit cell a=3.5305 b=4.8240 c=12.9383 alpha=90.00 beta=90.00 gamma=90.00
Last column: nearest neighbours and their distance in Å.
Space group Amm2 (No. 38)
One atom of each set of equivalent atoms:
La: 0.0000 0.0000 0.0000  1 Co 2.41
Tb: 0.5000 0.0000 0.6520  2 Co 2.73
Dy: 0.5000 0.0000 0.3335  4 Co 3.00
Co: 0.0000 0.0000 0.8134  1 La 2.41

***

(2)
LaDyThCo: relaxed, PBE-GGA.

Unit cell a=6.5017 b=3.7552 c=9.4801 alpha=90.00 beta=90.03 gamma=90.00
Last column: nearest neighbours and their distance in Å.
Space group Cm (No. 8)
One atom of each set of equivalent atoms:
La: 0.0000 0.0000 0.0000  3 Dy 3.70, 6 La 3.75-3.76, 3 Th 3.77-3.78
Dy: 0.3334 0.0000 0.3163  3 Co 2.81
Th: 0.3345 0.0000 0.6738  3 Co 2.69
Co: 0.0006 0.0000 0.5053  3 Th 2.69, 3 Dy 2.81

***

(3)
LiDy2Co: relaxed, PBE-GGA.

Unit cell a=3.3695 b=3.3695 c=8.0068 alpha=90.00 beta=90.00 gamma=90.00
Last column: nearest neighbours and their distance in Å.
Space group P4/mmm (No. 123)
One atom of each set of equivalent atoms:
Li: 0.0000 0.0000 0.0000  4 Li 3.37, 8 Dy 3.38
Dy: 0.5000 0.5000 0.2987  4 Co 2.88
Co: 0.0000 0.0000 0.5000  8 Dy 2.88

***

Here are the calculated DFT formation energy numbers, same order: -0.1 0.0 -1.6 (kcal/mol of atoms).
Here are the calculated electronic total energy numbers, same order: -42.57 -48.12 -18.50 (eV for the cell shown).